A geometry-optimized MgTcHg3 structure, computed with PBE-GGA.

Calculated values
Energy above the lowest structure with this stoichiometry   0 meV per atom
Raw total energy   -9.312 eV per cell
Spin magnetization   2.29 μB/cell
Formation enthalpy at 0 K   710.9 meV per atom

```
data_MgTcHg3
_symmetry_space_group_name_H-M 'P m -3 m'
_symmetry_Int_Tables_number 221
_symmetry_space_group_name_Hall '-P 4 2 3'
_cell_length_a 5.322
_cell_length_b 5.322
_cell_length_c 5.322
_cell_angle_alpha 90.00
_cell_angle_beta 90.00
_cell_angle_gamma 90.00
loop_
_atom_site_label
_atom_site_type_symbol
_atom_site_fract_x
_atom_site_fract_y
_atom_site_fract_z
_atom_site_occupancy
Mg1 Mg 0.000 0.000 0.000 1
Tc1 Tc 0.500 0.500 0.500 1
Hg1 Hg 0.000 0.500 0.500 1
```